# VP2Pb2O9, relaxed, DFT PBE with a Hubbard U
# Size of the total moment, μB per cell: 4.0
# V, Å³ per cell: 805.6
# DFT total energy, eV/atom: -7.01
data_VP2Pb2O9
_chemical_formula_sum 'V4 P8 Pb8 O36'
_cell_length_a 9.9169
_cell_length_b 9.2076
_cell_length_c 8.9463
_cell_angle_alpha 90.00
_cell_angle_beta 99.55
_cell_angle_gamma 90.00
_symmetry_space_group_name_H-M 'P 1 21/c 1'
_symmetry_Int_Tables_number 14
_symmetry_space_group_name_Hall '-P 2ybc'
loop_
_atom_site_label
_atom_site_type_symbol
_atom_site_fract_x
_atom_site_fract_y
_atom_site_fract_z
V1 V 0.0653 0.0001 0.2591
P1 P 0.0313 0.2489 0.0028
P2 P 0.4251 0.5451 0.7663
Pb1 Pb 0.2836 0.6429 0.1051
Pb2 Pb 0.3622 0.1939 0.9855
O1 O 0.0638 0.6525 0.9205
O2 O 0.0718 0.6612 0.6111
O3 O 0.1010 0.5326 0.2679
O4 O 0.1262 0.1489 0.1132
O5 O 0.1291 0.1542 0.4253
O6 O 0.2938 0.5804 0.8338
O7 O 0.4114 0.6160 0.6050
O8 O 0.4424 0.1218 0.2476
O9 O 0.4442 0.0970 0.6252